# 1
## CaTmNi (PBE)

Data for a geometry-optimized CaTmNi structure.

Geometry as CIF:
```
data_CaTmNi
_symmetry_space_group_name_H-M 'P 1'
_symmetry_Int_Tables_number 1
_cell_length_a 6.789
_cell_length_b 6.789
_cell_length_c 6.789
_cell_angle_alpha 150.81
_cell_angle_beta 150.81
_cell_angle_gamma 41.75
loop_
_symmetry_equiv_pos_as_xyz
'x,y,z'
loop_
_atom_site_label
_atom_site_fract_x
_atom_site_fract_y
_atom_site_fract_z
_atom_site_occupancy
Ca1 0.000 0.000 0.000 1
Tm1 0.258 0.258 0.000 1
Ni1 0.650 0.650 0.000 1
```

Results
energy of formation from the pure elements	-0.177	eV/atom
symmetry	I4mm, No. 107
final energy	-4.262	eV/atom
crystal system	tetragonal
energy above the most stable polymorph in this dataset	0	meV/atom

# 2
## LaCrCl2 (PBE)

Data for a geometry-optimized LaCrCl2 structure.

Geometry as CIF:
```
data_LaCrCl2
_symmetry_space_group_name_H-M 'P 1'
_symmetry_Int_Tables_number 1
_cell_length_a 5.376
_cell_length_b 5.376
_cell_length_c 5.376
_cell_angle_alpha 137.70
_cell_angle_beta 118.99
_cell_angle_gamma 77.04
loop_
_symmetry_equiv_pos_as_xyz
'x,y,z'
loop_
_atom_site_label
_atom_site_fract_x
_atom_site_fract_y
_atom_site_fract_z
_atom_site_occupancy
La1 0.000 0.000 0.000 1
Cr1 0.500 0.500 0.000 1
Cl1 0.302 0.802 0.500 1
Cl2 0.698 0.198 0.500 1
```

Results
symmetry	Immm, No. 71
final energy	-5.338	eV/atom
ΔE_f (raw)	-0.777	eV per atom
crystal system	orthorhombic
energy above the most stable polymorph in this dataset	105	meV/atom

# 3
## Ti2Nb3Al (PBE)

Data for a geometry-optimized Ti2Nb3Al structure.

Geometry as CIF:
```
data_Ti2Nb3Al
_symmetry_space_group_name_H-M 'P 1'
_symmetry_Int_Tables_number 1
_cell_length_a 5.568
_cell_length_b 5.568
_cell_length_c 6.939
_cell_angle_alpha 96.19
_cell_angle_beta 96.19
_cell_angle_gamma 92.48
loop_
_symmetry_equiv_pos_as_xyz
'x,y,z'
loop_
_atom_site_label
_atom_site_fract_x
_atom_site_fract_y
_atom_site_fract_z
_atom_site_occupancy
Ti1 0.124 0.633 0.876 1
Ti2 0.367 0.876 0.624 1
Ti3 0.633 0.124 0.376 1
Ti4 0.876 0.367 0.124 1
Nb1 0.155 0.318 0.507 1
Nb2 0.318 0.155 0.007 1
Nb3 0.423 0.577 0.250 1
Nb4 0.577 0.423 0.750 1
Nb5 0.682 0.845 0.993 1
Nb6 0.845 0.682 0.493 1
Al1 0.086 0.914 0.250 1
Al2 0.914 0.086 0.750 1
```

Results
energy of formation from the pure elements	-0.029	eV/atom
symmetry	C2/c, No. 15
final energy	-8.319	eV/atom
crystal system	monoclinic

# 4
## Sm2Mg3Hg3 (PBE)

Data for a geometry-optimized Sm2Mg3Hg3 structure.

Geometry as CIF:
```
data_Sm2Mg3Hg3
_symmetry_space_group_name_H-M 'P 1'
_symmetry_Int_Tables_number 1
_cell_length_a 8.937
_cell_length_b 8.937
_cell_length_c 8.937
_cell_angle_alpha 33.44
_cell_angle_beta 33.44
_cell_angle_gamma 33.44
loop_
_symmetry_equiv_pos_as_xyz
'x,y,z'
loop_
_atom_site_label
_atom_site_fract_x
_atom_site_fract_y
_atom_site_fract_z
_atom_site_occupancy
Sm1 0.000 0.000 0.000 1
Sm2 0.491 0.491 0.491 1
Mg1 0.243 0.243 0.243 1
Mg2 0.619 0.619 0.619 1
Mg3 0.746 0.746 0.746 1
Hg1 0.122 0.122 0.122 1
Hg2 0.365 0.365 0.365 1
Hg3 0.877 0.877 0.877 1
```

Results
energy of formation from the pure elements	-0.392	eV/atom
symmetry	R3m, No. 160
final energy	-2.283	eV/atom
crystal system	trigonal

# 5
## FeCo (PBE)

Data for a geometry-optimized FeCo structure.

Geometry as CIF:
```
data_FeCo
_symmetry_space_group_name_H-M 'P 1'
_symmetry_Int_Tables_number 1
_cell_length_a 8.477
_cell_length_b 8.477
_cell_length_c 8.477
_cell_angle_alpha 17.07
_cell_angle_beta 17.07
_cell_angle_gamma 17.07
loop_
_symmetry_equiv_pos_as_xyz
'x,y,z'
loop_
_atom_site_label
_atom_site_fract_x
_atom_site_fract_y
_atom_site_fract_z
_atom_site_occupancy
Fe1 0.124 0.124 0.124 1
Fe2 0.876 0.876 0.876 1
Co1 0.373 0.373 0.373 1
Co2 0.627 0.627 0.627 1
```

Results
energy of formation from the pure elements	0.057	eV/atom
symmetry	R-3m, No. 166
final energy	-7.727	eV/atom
crystal system	trigonal

# 6
## Nd3SmGa4 (PBE)

Data for a geometry-optimized Nd3SmGa4 structure.

Geometry as CIF:
```
data_Nd3SmGa4
_symmetry_space_group_name_H-M 'P 1'
_symmetry_Int_Tables_number 1
_cell_length_a 9.391
_cell_length_b 9.391
_cell_length_c 9.391
_cell_angle_alpha 157.06
_cell_angle_beta 136.76
_cell_angle_gamma 49.50
loop_
_symmetry_equiv_pos_as_xyz
'x,y,z'
loop_
_atom_site_label
_atom_site_fract_x
_atom_site_fract_y
_atom_site_fract_z
_atom_site_occupancy
Nd1 0.000 0.000 0.000 1
Nd2 0.298 0.798 0.500 1
Nd3 0.702 0.202 0.500 1
Sm1 0.500 0.500 0.000 1
Ga1 0.062 0.371 0.691 1
Ga2 0.320 0.629 0.691 1
Ga3 0.680 0.371 0.309 1
Ga4 0.938 0.629 0.309 1
```

Results
energy of formation from the pure elements	-0.430	eV/atom
symmetry	Immm, No. 71
final energy	-4.321	eV/atom
crystal system	orthorhombic
energy above the most stable polymorph in this dataset	133	meV/atom

# 7
## CeLuTlAg (PBE)

Data for a geometry-optimized CeLuTlAg structure.

Geometry as CIF:
```
data_CeLuTlAg
_symmetry_space_group_name_H-M 'P 1'
_symmetry_Int_Tables_number 1
_cell_length_a 5.303
_cell_length_b 5.303
_cell_length_c 5.303
_cell_angle_alpha 60.00
_cell_angle_beta 60.00
_cell_angle_gamma 60.00
loop_
_symmetry_equiv_pos_as_xyz
'x,y,z'
loop_
_atom_site_label
_atom_site_fract_x
_atom_site_fract_y
_atom_site_fract_z
_atom_site_occupancy
Ce1 0.000 0.000 0.000 1
Lu1 0.500 0.500 0.500 1
Tl1 0.250 0.250 0.250 1
Ag1 0.750 0.750 0.750 1
```

Results
energy of formation from the pure elements	-0.208	eV/atom
symmetry	F-43m, No. 216
final energy	-4.126	eV/atom
crystal system	cubic

# 8
## Ir3Pb (PBE)

Data for a geometry-optimized Ir3Pb structure.

Geometry as CIF:
```
data_Ir3Pb
_symmetry_space_group_name_H-M 'P 1'
_symmetry_Int_Tables_number 1
_cell_length_a 5.791
_cell_length_b 5.791
_cell_length_c 4.567
_cell_angle_alpha 90.00
_cell_angle_beta 90.00
_cell_angle_gamma 118.88
loop_
_symmetry_equiv_pos_as_xyz
'x,y,z'
loop_
_atom_site_label
_atom_site_fract_x
_atom_site_fract_y
_atom_site_fract_z
_atom_site_occupancy
Ir1 0.152 0.300 0.750 1
Ir2 0.175 0.825 0.750 1
Ir3 0.300 0.152 0.250 1
Ir4 0.700 0.848 0.750 1
Ir5 0.825 0.175 0.250 1
Ir6 0.848 0.700 0.250 1
Pb1 0.340 0.660 0.250 1
Pb2 0.660 0.340 0.750 1
```

Results
energy of formation from the pure elements	0.448	eV/atom
symmetry	Cmcm, No. 63
final energy	-7.125	eV/atom
crystal system	orthorhombic

# 9
## Sm2PuS4 (PBE)

Data for a geometry-optimized Sm2PuS4 structure.

Geometry as CIF:
```
data_Sm2PuS4
_symmetry_space_group_name_H-M 'P 1'
_symmetry_Int_Tables_number 1
_cell_length_a 6.894
_cell_length_b 6.894
_cell_length_c 13.282
_cell_angle_alpha 90.00
_cell_angle_beta 90.00
_cell_angle_gamma 146.85
loop_
_symmetry_equiv_pos_as_xyz
'x,y,z'
loop_
_atom_site_label
_atom_site_fract_x
_atom_site_fract_y
_atom_site_fract_z
_atom_site_occupancy
Sm1 0.132 0.868 0.570 1
Sm2 0.132 0.868 0.930 1
Sm3 0.868 0.132 0.070 1
Sm4 0.868 0.132 0.430 1
Pu1 0.379 0.621 0.750 1
Pu2 0.621 0.379 0.250 1
S1 0.030 0.970 0.750 1
S2 0.225 0.775 0.124 1
S3 0.225 0.775 0.376 1
S4 0.500 0.500 0.000 1
S5 0.500 0.500 0.500 1
S6 0.775 0.225 0.624 1
S7 0.775 0.225 0.876 1
S8 0.970 0.030 0.250 1
```

Results
symmetry	Cmcm, No. 63
final energy	-7.675	eV/atom
ΔE_f (raw)	-1.921	eV per atom
crystal system	orthorhombic

# 10
## Th3Au5 (PBE)

Data for a geometry-optimized Th3Au5 structure.

Geometry as CIF:
```
data_Th3Au5
_symmetry_space_group_name_H-M 'P 1'
_symmetry_Int_Tables_number 1
_cell_length_a 11.564
_cell_length_b 7.985
_cell_length_c 9.368
_cell_angle_alpha 83.17
_cell_angle_beta 43.29
_cell_angle_gamma 53.55
loop_
_symmetry_equiv_pos_as_xyz
'x,y,z'
loop_
_atom_site_label
_atom_site_fract_x
_atom_site_fract_y
_atom_site_fract_z
_atom_site_occupancy
Th1 0.000 0.000 0.000 1
Th2 0.250 0.250 0.250 1
Th3 0.389 0.623 0.276 1
Th4 0.538 0.974 0.627 1
Th5 0.623 0.389 0.712 1
Th6 0.974 0.538 0.861 1
Au1 0.136 0.532 0.036 1
Au2 0.214 0.954 0.114 1
Au3 0.430 0.861 0.451 1
Au4 0.446 0.446 0.554 1
Au5 0.532 0.136 0.296 1
Au6 0.696 0.696 0.804 1
Au7 0.799 0.992 0.820 1
Au8 0.861 0.430 0.258 1
Au9 0.954 0.214 0.718 1
Au10 0.992 0.799 0.389 1
```

Results
energy of formation from the pure elements	-0.602	eV/atom
symmetry	Fdd2, No. 43
final energy	-5.433	eV/atom
crystal system	orthorhombic

# 11
## Ba2GaNiCl (PBE)

Data for a geometry-optimized Ba2GaNiCl structure.

Geometry as CIF:
```
data_Ba2GaNiCl
_symmetry_space_group_name_H-M 'P 1'
_symmetry_Int_Tables_number 1
_cell_length_a 6.036
_cell_length_b 6.036
_cell_length_c 4.528
_cell_angle_alpha 90.00
_cell_angle_beta 90.00
_cell_angle_gamma 90.00
loop_
_symmetry_equiv_pos_as_xyz
'x,y,z'
loop_
_atom_site_label
_atom_site_fract_x
_atom_site_fract_y
_atom_site_fract_z
_atom_site_occupancy
Ba1 0.000 0.500 0.000 1
Ba2 0.500 0.000 0.000 1
Ga1 0.000 0.000 0.500 1
Ni1 0.000 0.000 0.000 1
Cl1 0.500 0.500 0.500 1
```

Results
symmetry	P4/mmm, No. 123
final energy	-3.670	eV/atom
ΔE_f (raw)	-0.770	eV per atom
crystal system	tetragonal

# 12
## ZrSc2NiGe (PBE)

Data for a geometry-optimized ZrSc2NiGe structure.

Geometry as CIF:
```
data_ZrSc2NiGe
_symmetry_space_group_name_H-M 'P 1'
_symmetry_Int_Tables_number 1
_cell_length_a 5.041
_cell_length_b 5.041
_cell_length_c 5.074
_cell_angle_alpha 90.00
_cell_angle_beta 90.00
_cell_angle_gamma 90.00
loop_
_symmetry_equiv_pos_as_xyz
'x,y,z'
loop_
_atom_site_label
_atom_site_fract_x
_atom_site_fract_y
_atom_site_fract_z
_atom_site_occupancy
Zr1 0.000 0.000 0.000 1
Sc1 0.000 0.500 0.000 1
Sc2 0.500 0.000 0.000 1
Ni1 0.500 0.500 0.500 1
Ge1 0.000 0.000 0.500 1
```

Results
energy of formation from the pure elements	1.031	eV/atom
symmetry	P4/mmm, No. 123
final energy	-5.291	eV/atom
crystal system	tetragonal

| no. | magnetization (μB per cell) | V (Å³/cell) |
| --- | --- | --- |
| 1 | 0.000 | 74 |
| 2 | 4.162 | 89 |
| 3 | 1.364 | 212 |
| 4 | 0.000 | 193 |
| 5 | 8.483 | 46 |
| 6 | 0.003 | 220 |
| 7 | 1.113 | 105 |
| 8 | 0.000 | 134 |
| 9 | 11.096 | 345 |
| 10 | 0.000 | 393 |
| 11 | 0.000 | 165 |
| 12 | 0.000 | 129 |